1.
Material: ZrSc2Au
Method: DFT, GGA-PBE
State: optimized geometry

Cell: 5.956 5.956 4.844 Å, 66.02 66.02 33.65°
Sites, in units of the cell vectors:
Au 0.747 0.747 0.754
Sc 0.025 0.025 0.975
Sc 0.248 0.248 0.252
Zr 0.480 0.480 0.519

DOS at the Fermi energy = 3.571 states/eV/f.u.
size of the total moment = 0.000 μB per cell
E_form = -349 meV per atom

***

2.
Material: ZrSc2Au
Method: DFT, GGA-PBE
State: optimized geometry

Cell: 3.356 3.356 9.479 Å, 79.80 79.80 60.00°
Sites, in units of the cell vectors:
Zr 0.501 0.501 0.498
Sc 0.076 0.076 0.771
Sc 0.257 0.257 0.229
Au 0.666 0.666 0.002

DOS at the Fermi energy = 5.539 states/eV/f.u.
size of the total moment = 0.001 μB per cell
E_form = -238 meV per atom

***

3.
Material: ZrScAu
Method: DFT, GGA-PBE
State: optimized geometry

Cell: 4.303 4.303 7.079 Å, 90.00 90.00 90.00°
Sites, in units of the cell vectors:
Sc 0.000 0.000 0.500
Sc 0.500 0.500 0.500
Au 0.000 0.500 0.761
Au 0.500 0.000 0.239
Zr 0.000 0.500 0.136
Zr 0.500 0.000 0.864

DOS at the Fermi energy = 3.441 states/eV/f.u.
size of the total moment = 0.000 μB per cell
E_form = -383 meV per atom

***

4.
Material: ZrScAu
Method: DFT, GGA-PBE
State: optimized geometry

Cell: 4.618 4.618 4.618 Å, 60.00 60.00 60.00°
Sites, in units of the cell vectors:
Sc 0.250 0.250 0.250
Au 0.750 0.750 0.750
Zr 0.500 0.500 0.500

DOS at the Fermi energy = 2.465 states/eV/f.u.
size of the total moment = 0.000 μB per cell
E_form = 277 meV per atom

***

5.
Material: ZrScAu
Method: DFT, GGA-PBE
State: optimized geometry

Cell: 4.843 6.216 4.845 Å, 90.00 120.02 90.00°
Site moments in Bohr magnetons follow the coordinates.
Sites, in units of the cell vectors:
Sc 0.792 0.470 0.271  -0.02
Sc 0.125 0.212 0.937  0.12
Au 0.126 0.717 0.937  0.01
Au 0.458 0.231 0.604  0.02
Zr 0.792 0.970 0.271  0.51
Zr 0.459 0.735 0.604  0.17

DOS at the Fermi energy = 3.092 states/eV/f.u.
size of the total moment = 1.156 μB per cell
E_form = -418 meV per atom

***

6.
Material: ZrSc3Au
Method: DFT, GGA-PBE
State: optimized geometry

Cell: 5.143 5.143 5.143 Å, 90.00 90.00 90.00°
Site moments in Bohr magnetons follow the coordinates.
Sites, in units of the cell vectors:
Sc 0.000 0.500 0.000  0.02
Sc 0.000 0.000 0.500  0.06
Sc 0.500 0.000 0.000  0.07
Au 0.000 0.000 0.000  -0.01
Zr 0.500 0.500 0.500  0.67

DOS at the Fermi energy = 7.923 states/eV/f.u.
size of the total moment = 1.432 μB per cell
E_form = 242 meV per atom

***

Number 1: raw total energy -6.471 eV per atom. Number 2: raw total energy -6.361 eV per atom. Number 3: raw total energy -6.435 eV per atom. Number 4: raw total energy -5.775 eV per atom. Number 5: raw total energy -6.471 eV per atom. Number 6: raw total energy -5.922 eV per atom.